(1)
Here is an optimized crystal structure of MgSn from Alexandria. Energies are from PBEsol.

## Properties
Space-group type: No. 38
Energy of formation from the pure elements, meV per atom: -111
Total magnetic moment, μB/cell: 0.000

a b c (Å): 4.631 7.199 7.199
angles (deg): 36.07 90.00 90.00
Fractional coordinates of all 6 atoms:
Mg: 0.000 0.000 0.000
Mg: 0.000 0.329 0.329
Mg: 0.500 0.503 0.503
Sn: 0.000 0.661 0.661
Sn: 0.500 0.164 0.164
Sn: 0.500 0.855 0.855

=====

(2)
Here is an optimized crystal structure of MgSn from Alexandria. Energies are from PBEsol.

## Properties
Space-group type: No. 166
Energy of formation from the pure elements, meV per atom: -153
Total magnetic moment, μB/cell: 0.000

a b c (Å): 5.036 5.036 5.036
angles (deg): 39.87 39.87 39.87
Fractional coordinates of all 2 atoms:
Mg: 0.000 0.000 0.000
Sn: 0.500 0.500 0.500

=====

(3)
Here is an optimized crystal structure of SrMgSn3 from Alexandria. Energies are from PBEsol.

## Properties
Space-group type: No. 221
Energy of formation from the pure elements, meV per atom: -15
Total magnetic moment, μB/cell: 0.000

a b c (Å): 5.378 5.378 5.378
angles (deg): 90.00 90.00 90.00
Fractional coordinates of all 5 atoms:
Sr: 0.000 0.000 0.000
Mg: 0.500 0.500 0.500
Sn: 0.000 0.500 0.500
Sn: 0.500 0.000 0.500
Sn: 0.500 0.500 0.000

=====

(4)
Here is an optimized crystal structure of SrMgSn from Alexandria. Energies are from PBEsol.

## Properties
Space-group type: No. 62
Energy of formation from the pure elements, meV per atom: -603
Total magnetic moment, μB/cell: 0.000

a b c (Å): 8.105 4.864 8.759
angles (deg): 90.00 90.00 90.00
Fractional coordinates of all 12 atoms:
Sr: 0.010 0.250 0.191
Sr: 0.490 0.750 0.691
Sr: 0.510 0.250 0.309
Sr: 0.990 0.750 0.809
Mg: 0.151 0.250 0.569
Mg: 0.349 0.750 0.069
Mg: 0.651 0.250 0.931
Mg: 0.849 0.750 0.431
Sn: 0.222 0.750 0.393
Sn: 0.278 0.250 0.893
Sn: 0.722 0.750 0.107
Sn: 0.778 0.250 0.607

=====

(5)
Here is an optimized crystal structure of SrMg2TlSn from Alexandria. Energies are from PBEsol.

## Properties
Space-group type: No. 123
Energy of formation from the pure elements, meV per atom: 126
Total magnetic moment, μB/cell: 0.000

a b c (Å): 5.247 5.247 6.025
angles (deg): 90.00 90.00 90.00
Fractional coordinates of all 5 atoms:
Sr: 0.000 0.000 0.000
Mg: 0.000 0.500 0.500
Mg: 0.500 0.000 0.500
Tl: 0.500 0.500 0.500
Sn: 0.500 0.500 0.000

=====

(6)
Here is an optimized crystal structure of TbMgSn from Alexandria. Energies are from PBEsol.

## Properties
Space-group type: No. 139
Energy of formation from the pure elements, meV per atom: -621
Total magnetic moment, μB/cell: 0.000

a b c (Å): 8.459 8.459 8.459
angles (deg): 150.17 150.17 42.69
Fractional coordinates of all 6 atoms:
Tb: 0.167 0.167 0.000
Tb: 0.833 0.833 0.000
Mg: 0.000 0.500 0.500
Mg: 0.500 0.000 0.500
Sn: 0.364 0.364 0.000
Sn: 0.636 0.636 0.000

=====

Q: Number 5 is which compound?
A: SrMg2TlSn